An optimized crystal structure of Dy2Tl2RuO6. Source: the Alexandria database, functional PBE.

Uncorrected energy = -74.02 eV per formula unit
Density of states at the Fermi level = 0.555 states/eV/atom
Symmetry = C2/m, No. 12

Cell lengths 5.7889, 5.7889, 6.7738 Å; angles 97.15, 97.15, 119.98 degrees
Positions (direct):
Dy  0.3349  0.6651  0.5000
Dy  0.6651  0.3349  0.5000
Tl  0.8381  0.1619  0.0000
Tl  0.1619  0.8381  0.0000
Ru  0.0000  0.0000  0.5000
O  0.7477  0.7477  0.6707
O  0.0443  0.3531  0.6622
O  0.2523  0.2523  0.3293
O  0.3531  0.0443  0.6622
O  0.9557  0.6469  0.3378
O  0.6469  0.9557  0.3378

An optimized crystal structure of TmZrAgS4. Source: the Alexandria database, functional PBE.

Uncorrected energy = -42.40 eV per formula unit
Symmetry = Imma, No. 74

Cell lengths 7.6388, 7.7606, 7.8685 Å; angles 120.46, 90.00, 119.48 degrees
Positions (direct):
Tm  0.5000  0.0000  0.5000
Tm  0.5000  0.0000  0.0000
Zr  0.5000  0.5000  0.5000
Zr  0.0000  0.5000  0.5000
Ag  0.8735  0.7469  0.1235
Ag  0.1265  0.2531  0.8765
S  0.7469  0.4938  0.7228
S  0.2776  0.0323  0.2661
S  0.7547  0.0323  0.2661
S  0.7469  0.4938  0.2710
S  0.2531  0.5062  0.7290
S  0.7224  0.9677  0.7339
S  0.2453  0.9677  0.7339
S  0.2531  0.5062  0.2772

An optimized crystal structure of N. Source: the Alexandria database, functional PBE.

Excess energy over the best structure of this formula in the dataset = 32.598 kcal/mol of atoms
Density of states at the Fermi level = 0.384 states/eV/atom
Symmetry = P3_121, No. 152

Cell lengths 3.8151, 3.8151, 3.3343 Å; angles 90.00, 90.00, 120.00 degrees
Positions (direct):
N  0.0000  0.8985  0.3333
N  0.1015  0.1015  0.6667
N  0.8985  0.0000  0.0000

An optimized crystal structure of RbYTi. Source: the Alexandria database, functional PBE.

Excess energy over the best structure of this formula in the dataset = 2.971 kcal/mol of atoms
Density of states at the Fermi level = 1.635 states/eV/atom
Symmetry = P1, No. 1

Cell lengths 4.7361, 3.4856, 15.7012 Å; angles 85.87, 86.10, 69.44 degrees
Positions (direct):
Y  0.1161  0.3652  0.9533
Y  0.7478  0.4510  0.2355
Rb  0.6347  0.7661  0.7324
Rb  0.1850  0.7106  0.4568
Ti  0.6632  0.0457  0.0746
Ti  0.2016  0.7705  0.1140

An optimized crystal structure of SnHIr2Rh. Source: the Alexandria database, functional PBE.

Uncorrected energy = -32.83 eV per formula unit
Density of states at the Fermi level = 0.446 states/eV/atom
Symmetry = P4/mmm, No. 123

Cell lengths 4.0210, 4.0210, 4.0348 Å; angles 90.00, 90.00, 90.00 degrees
Positions (direct):
H  0.0000  0.0000  0.0000
Ir  0.0000  0.5000  0.0000
Ir  0.5000  0.0000  0.0000
Rh  0.0000  0.0000  0.5000
Sn  0.5000  0.5000  0.5000

An optimized crystal structure of InHgW2. Source: the Alexandria database, functional PBE.

Excess energy over the best structure of this formula in the dataset = 7.002 kcal/mol of atoms
Density of states at the Fermi level = 0.759 states/eV/atom
Symmetry = Cmmm, No. 65

Cell lengths 2.8600, 2.8600, 9.5245 Å; angles 90.00, 90.00, 109.32 degrees
Positions (direct):
Hg  0.5000  0.5000  0.2500
In  0.5000  0.5000  0.7500
W  0.0000  0.0000  0.9973
W  0.0000  0.0000  0.5027

Taking the records one at a time from the top gives mass density values of 8.12; 4.99; 1.66; 3.05; 15.45; 15.43 g cm⁻³.